1.
VASP calculation (PBE-GGA) on CsErAgS2 after structural relaxation.

Calculated values
**Magnetization**: 0.0 μB per cell
**E_form (uncorrected)**: -25.78 kcal/mol of atoms
**Raw total energy**: -4.422 eV/atom

abc: 5.1009 7.9915 7.6977
angles: 98.10 90.00 90.00
Last column: nearest neighbours and their distance in Å.
Positions (direct):
S: 0.6165 0.7799 0.9688  1 Ag 2.62, 2 Er 2.66
S: 0.3835 0.7799 0.4688  1 Ag 2.62, 2 Er 2.66
Ag: 0.0000 0.0000 0.0000  2 S 2.62
Cs: 0.1314 0.5000 0.7500  6 S 3.56-3.70
S: 0.3835 0.2201 0.0312  1 Ag 2.62, 2 Er 2.66
Cs: 0.8686 0.5000 0.2500  6 S 3.56-3.70
Er: 0.5047 0.0000 0.7500  4 S 2.66
S: 0.6165 0.2201 0.5312  1 Ag 2.62, 2 Er 2.66
Ag: 0.0000 0.0000 0.5000  2 S 2.62
Er: 0.4953 0.0000 0.2500  4 S 2.66

***

2.
VASP calculation (PBE-GGA) on CsEr2AgS4 after structural relaxation.

Calculated values
**Magnetization**: 0.0 μB per cell
**E_form (uncorrected)**: -35.65 kcal/mol of atoms
**Raw total energy**: -5.213 eV/atom

abc: 4.0831 7.2989 14.2351
angles: 90.00 90.00 106.24
Last column: nearest neighbours and their distance in Å.
Positions (direct):
Cs: 0.8865 0.7729 0.2500  6 S 3.27-3.52
Er: 0.3683 0.7366 0.5637  6 S 2.71-2.90
S: 0.4312 0.8624 0.7500  2 Ag 2.48
Er: 0.6317 0.2634 0.0637  6 S 2.71-2.90
S: 0.5688 0.1376 0.2500  2 Ag 2.48
Cs: 0.1135 0.2271 0.7500  6 S 3.27-3.52
S: 0.0000 0.0000 0.0000  4 Er 2.90
Ag: 0.1692 0.3383 0.2500  4 S 2.48-2.51
S: 0.7447 0.4894 0.5952  1 Ag 2.51, 3 Er 2.71-2.76
S: 0.7447 0.4894 0.9048  1 Ag 2.51, 3 Er 2.71-2.76
S: 0.2553 0.5106 0.4048  1 Ag 2.51, 3 Er 2.71-2.76
Er: 0.6317 0.2634 0.4363  6 S 2.71-2.90
Er: 0.3683 0.7366 0.9363  6 S 2.71-2.90
S: 0.2553 0.5106 0.0952  1 Ag 2.51, 3 Er 2.71-2.76
S: 0.0000 0.0000 0.5000  4 Er 2.90
Ag: 0.8308 0.6617 0.7500  4 S 2.48-2.51

***

3.
VASP calculation (PBE-GGA) on CsErAgTe2 after structural relaxation.

Calculated values
**Magnetization**: 0.0 μB per cell
**E_form (uncorrected)**: -19.05 kcal/mol of atoms
**Raw total energy**: -3.736 eV/atom

abc: 4.7636 8.7889 8.7535
angles: 90.02 90.00 90.00
Last column: nearest neighbours and their distance in Å.
Positions (direct):
Cs: 0.9997 0.5000 0.2500  8 Te 3.92-4.06, 2 Cs 4.38
Te: 0.5244 0.7656 0.9999  2 Er 3.01, 2 Ag 3.06-3.24
Ag: 0.0000 0.0000 0.5000  4 Te 3.06-3.24, 4 Er 3.23
Te: 0.4756 0.2344 0.0001  2 Er 3.01, 2 Ag 3.06-3.24
Ag: 0.0000 0.0000 0.0000  4 Te 3.06-3.24, 4 Er 3.23
Cs: 0.0003 0.5000 0.7500  8 Te 3.92-4.06, 2 Cs 4.38
Er: 0.5000 0.0000 0.2500  4 Te 3.01, 4 Ag 3.23
Te: 0.4756 0.7656 0.4999  2 Er 3.01, 2 Ag 3.06-3.24
Er: 0.5000 0.0000 0.7500  4 Te 3.01, 4 Ag 3.23
Te: 0.5244 0.2344 0.5001  2 Er 3.01, 2 Ag 3.06-3.24

***

4.
VASP calculation (PBE-GGA) on CsEr2Ag3Te5 after structural relaxation.

Calculated values
**Magnetization**: 0.0 μB per cell
**E_form (uncorrected)**: -19.98 kcal/mol of atoms
**Raw total energy**: -3.979 eV/atom

abc: 8.5676 8.5676 18.5651
angles: 90.00 90.00 149.13
Last column: nearest neighbours and their distance in Å.
Positions (direct):
Ag: 0.1593 0.8407 0.7500  4 Te 2.78-2.90
Te: 0.3210 0.6790 0.5708  2 Ag 2.85, 3 Er 3.07-3.14
Ag: 0.9177 0.0823 0.5369  4 Te 2.85-2.88, 1 Ag 3.04
Er: 0.6925 0.3075 0.9057  6 Te 3.07-3.14
Te: 0.7553 0.2447 0.7500  2 Ag 2.78, 2 Er 3.07
Te: 0.2447 0.7553 0.2500  2 Ag 2.78, 2 Er 3.07
Te: 0.9329 0.0671 0.1173  3 Ag 2.87-2.90, 2 Er 3.11
Te: 0.0671 0.9329 0.6173  3 Ag 2.87-2.90, 2 Er 3.11
Cs: 0.4432 0.5568 0.7500  8 Te 3.85-3.93, 2 Ag 4.24
Te: 0.6790 0.3210 0.4292  2 Ag 2.85, 3 Er 3.07-3.14
Cs: 0.5568 0.4432 0.2500  8 Te 3.85-3.93, 2 Ag 4.24
Ag: 0.9177 0.0823 0.9631  4 Te 2.85-2.88, 1 Ag 3.04
Ag: 0.0823 0.9177 0.0369  4 Te 2.85-2.88, 1 Ag 3.04
Te: 0.9329 0.0671 0.3827  3 Ag 2.87-2.90, 2 Er 3.11
Ag: 0.8407 0.1593 0.2500  4 Te 2.78-2.90
Er: 0.3075 0.6925 0.0943  6 Te 3.07-3.14
Er: 0.3075 0.6925 0.4057  6 Te 3.07-3.14
Te: 0.3210 0.6790 0.9292  2 Ag 2.85, 3 Er 3.07-3.14
Ag: 0.0823 0.9177 0.4631  4 Te 2.85-2.88, 1 Ag 3.04
Te: 0.0671 0.9329 0.8827  3 Ag 2.87-2.90, 2 Er 3.11
Te: 0.6790 0.3210 0.0708  2 Ag 2.85, 3 Er 3.07-3.14
Er: 0.6925 0.3075 0.5943  6 Te 3.07-3.14

***

5.
VASP calculation (PBE-GGA) on Cs2ErAg2Te4 after structural relaxation.

Calculated values
**Magnetization**: 0.0 μB per cell
**E_form (uncorrected)**: -19.68 kcal/mol of atoms
**Raw total energy**: -3.580 eV/atom

abc: 4.4479 9.1618 8.6104
angles: 107.19 104.97 90.00
Last column: nearest neighbours and their distance in Å.
Positions (direct):
Cs: 0.1320 0.5649 0.2639  7 Te 3.85-3.99, 1 Cs 4.18, 2 Ag 4.26
Cs: 0.8680 0.4351 0.7361  7 Te 3.85-3.99, 1 Cs 4.18, 2 Ag 4.26
Te: 0.4859 0.2243 0.9718  1 Ag 2.85, 2 Er 3.09
Er: 0.0000 0.0000 0.0000  6 Te 3.09-3.11
Ag: 0.6819 0.9799 0.3638  4 Te 2.85-2.90, 2 Ag 3.11
Te: 0.8079 0.8206 0.6158  3 Ag 2.85-2.90, 1 Er 3.11
Te: 0.1921 0.1794 0.3842  3 Ag 2.85-2.90, 1 Er 3.11
Te: 0.5141 0.7757 0.0282  1 Ag 2.85, 2 Er 3.09
Ag: 0.3181 0.0201 0.6362  4 Te 2.85-2.90, 2 Ag 3.11

***

6.
VASP calculation (PBE-GGA) on CsEr2AgTe4 after structural relaxation.

Calculated values
**Magnetization**: 0.0 μB per cell
**E_form (uncorrected)**: -25.50 kcal/mol of atoms
**Raw total energy**: -4.281 eV/atom

abc: 4.4946 8.0902 15.8668
angles: 90.00 90.00 106.13
Last column: nearest neighbours and their distance in Å.
Positions (direct):
Te: 0.7413 0.4826 0.5986  1 Ag 2.80, 2 Er 3.05
Er: 0.3706 0.7412 0.5676  6 Te 3.05-3.20
Ag: 0.1662 0.3324 0.2500  4 Te 2.77-2.80
Te: 0.0000 0.0000 0.0000  4 Er 3.20
Te: 0.2587 0.5174 0.4014  1 Ag 2.80, 2 Er 3.05
Ag: 0.8338 0.6676 0.7500  4 Te 2.77-2.80
Er: 0.3706 0.7412 0.9324  6 Te 3.05-3.20
Cs: 0.1215 0.2431 0.7500  6 Te 3.63-3.78, 2 Ag 3.99
Cs: 0.8785 0.7569 0.2500  6 Te 3.63-3.78, 2 Ag 3.99
Er: 0.6294 0.2588 0.4324  6 Te 3.05-3.20
Te: 0.2587 0.5174 0.0986  1 Ag 2.80, 2 Er 3.05
Te: 0.0000 0.0000 0.5000  4 Er 3.20
Te: 0.4381 0.8763 0.7500  2 Ag 2.77, 2 Er 3.08
Er: 0.6294 0.2588 0.0676  6 Te 3.05-3.20
Te: 0.5619 0.1237 0.2500  2 Ag 2.77, 2 Er 3.08
Te: 0.7413 0.4826 0.9014  1 Ag 2.80, 2 Er 3.05

***

7.
VASP calculation (PBE-GGA) on CsErAgTe3 after structural relaxation.

Calculated values
**Magnetization**: 0.0 μB per cell
**E_form (uncorrected)**: -21.19 kcal/mol of atoms
**Raw total energy**: -3.868 eV/atom

abc: 4.3207 9.2372 11.3488
angles: 90.00 90.00 103.53
Last column: nearest neighbours and their distance in Å.
Positions (direct):
Te: 0.0698 0.1396 0.7500  2 Ag 2.83, 2 Er 3.10
Cs: 0.7533 0.5066 0.7500  8 Te 3.92-4.15, 2 Cs 4.32
Er: 0.0000 0.0000 0.5000  6 Te 3.07-3.10
Ag: 0.5321 0.0642 0.2500  4 Te 2.78-2.83
Te: 0.6182 0.2364 0.4537  1 Ag 2.78, 2 Er 3.07
Cs: 0.2467 0.4934 0.2500  8 Te 3.92-4.15, 2 Cs 4.32
Te: 0.9302 0.8604 0.2500  2 Ag 2.83, 2 Er 3.10
Er: 0.0000 0.0000 0.0000  6 Te 3.07-3.10
Te: 0.6182 0.2364 0.0463  1 Ag 2.78, 2 Er 3.07
Te: 0.3818 0.7636 0.9537  1 Ag 2.78, 2 Er 3.07
Te: 0.3818 0.7636 0.5463  1 Ag 2.78, 2 Er 3.07
Ag: 0.4679 0.9358 0.7500  4 Te 2.78-2.83

***

8.
VASP calculation (PBE-GGA) on Cs2AgF6 after structural relaxation.

Calculated values
**Magnetization**: 2.1 μB per cell
**E_form (uncorrected)**: -42.01 kcal/mol of atoms
**Raw total energy**: -3.576 eV/atom

abc: 6.6182 7.8362 8.3300
angles: 90.00 90.00 109.41
Last column: nearest neighbours and their distance in Å.
Positions (direct):
Ag: 0.5000 0.0000 0.5000  6 F 1.97-2.15
Cs: 0.8626 0.6844 0.4400  6 F 2.95-3.30
F: 0.8750 0.5393 0.7940  1 Ag 1.97
F: 0.3750 0.0393 0.7060  1 Ag 1.97
F: 0.8679 0.2353 0.9744  1 Ag 1.98
F: 0.1321 0.7647 0.0256  1 Ag 1.98
F: 0.7226 0.5202 0.1221  1 Ag 2.15
Cs: 0.3626 0.1844 0.0600  6 F 2.95-3.30
F: 0.7774 0.9798 0.6221  1 Ag 2.15
F: 0.6321 0.2647 0.4744  1 Ag 1.98
F: 0.1250 0.4607 0.2060  1 Ag 1.97
F: 0.6250 0.9607 0.2940  1 Ag 1.97
F: 0.2774 0.4798 0.8779  1 Ag 2.15
Cs: 0.1374 0.3156 0.5600  6 F 2.95-3.30
F: 0.2226 0.0202 0.3779  1 Ag 2.15
Cs: 0.6374 0.8156 0.9400  6 F 2.95-3.30
F: 0.3679 0.7353 0.5256  1 Ag 1.98
Ag: 0.0000 0.5000 0.0000  6 F 1.97-2.15

***

9.
VASP calculation (PBE-GGA) on Cs2AgF8 after structural relaxation.

Calculated values
**Magnetization**: 0.9 μB per cell
**E_form (uncorrected)**: -34.03 kcal/mol of atoms
**Raw total energy**: -3.251 eV/atom

abc: 5.7364 6.6824 6.6824
angles: 68.45 76.96 76.96
Last column: nearest neighbours and their distance in Å.
Positions (direct):
F: 0.1802 0.2469 0.8679  1 Ag 1.96
F: 0.8198 0.1321 0.7531  1 Ag 1.96
F: 0.6404 0.4271 0.4271  1 F 1.94
F: 0.8198 0.7531 0.1321  1 Ag 1.96
F: 0.3596 0.5729 0.5729  1 F 1.94
F: 0.7707 0.1687 0.1687  1 Ag 1.97
Cs: 0.7793 0.6844 0.6844  8 F 2.99-3.31
F: 0.1802 0.8679 0.2469  1 Ag 1.96
F: 0.2293 0.8313 0.8313  1 Ag 1.97
Cs: 0.2207 0.3156 0.3156  8 F 2.99-3.31
Ag: 0.0000 0.0000 0.0000  6 F 1.96-1.97

***

10.
VASP calculation (PBE-GGA) on CsAg2F6 after structural relaxation.

Calculated values
**Magnetization**: 0.0 μB per cell
**E_form (uncorrected)**: -33.76 kcal/mol of atoms
**Raw total energy**: -3.440 eV/atom

abc: 6.0470 6.0470 6.0095
angles: 90.00 90.00 120.00
Last column: nearest neighbours and their distance in Å.
Positions (direct):
F: 0.3840 0.0000 0.6812  2 Ag 2.17
F: 0.3840 0.3840 0.3188  2 Ag 2.17
Cs: 0.0000 0.0000 0.0000  6 F 3.01
F: 0.6160 0.6160 0.6812  2 Ag 2.17
F: 0.0000 0.3840 0.6812  2 Ag 2.17
Ag: 0.3333 0.6667 0.5000  6 F 2.17
Ag: 0.6667 0.3333 0.5000  6 F 2.17
F: 0.6160 0.0000 0.3188  2 Ag 2.17
F: 0.0000 0.6160 0.3188  2 Ag 2.17